[1]
# Be2Cd2AsO6

A relaxed Be2Cd2AsO6 crystal (GGA-PBE, the Alexandria database).

Space group   P-3 (147)
Energy relative to the elements, uncorrected   -1.467 eV/atom
Spin magnetization   0.0 μB per formula unit
Crystal system   trigonal

a = 4.986 Å, b = 4.986 Å, c = 6.273 Å
α = 90.00°, β = 90.00°, γ = 120.00°
Sites, in units of the cell vectors:
Cd  0.333  0.667  0.351
Cd  0.667  0.333  0.649
O  0.273  0.331  0.826
O  0.331  0.058  0.174
O  0.727  0.669  0.174
O  0.669  0.942  0.826
O  0.058  0.727  0.826
O  0.942  0.273  0.174
As  0.000  0.000  0.000
Be  0.333  0.667  0.851
Be  0.667  0.333  0.149

=====

[2]
# BeCdAsO4

A relaxed BeCdAsO4 crystal (GGA-PBE, the Alexandria database).

Space group   I-4 (82)
Energy relative to the elements, uncorrected   -1.443 eV/atom
Spin magnetization   0.0 μB per formula unit
Crystal system   tetragonal

a = 5.001 Å, b = 5.001 Å, c = 5.132 Å
α = 119.16°, β = 119.16°, γ = 90.00°
Sites, in units of the cell vectors:
O  0.363  0.788  0.263
O  0.899  0.475  0.263
O  0.525  0.637  0.737
O  0.212  0.101  0.737
Cd  0.000  0.000  0.000
Be  0.250  0.750  0.500
As  0.500  0.500  0.000

=====

[3]
# BeCdAs2O6

A relaxed BeCdAs2O6 crystal (GGA-PBE, the Alexandria database).

Space group   C2/c (15)
Energy relative to the elements, uncorrected   -1.334 eV/atom
Spin magnetization   0.0 μB per formula unit
Crystal system   monoclinic

a = 6.961 Å, b = 6.677 Å, c = 6.677 Å
α = 75.12°, β = 65.27°, γ = 65.27°
Sites, in units of the cell vectors:
As  0.870  0.652  0.730
As  0.370  0.730  0.652
As  0.630  0.270  0.348
As  0.130  0.348  0.270
O  0.272  0.181  0.048
O  0.499  0.191  0.628
O  0.228  0.952  0.819
O  0.728  0.819  0.952
O  0.772  0.048  0.181
O  0.106  0.749  0.579
O  0.394  0.421  0.251
O  0.999  0.628  0.191
O  0.606  0.579  0.749
O  0.001  0.372  0.809
O  0.501  0.809  0.372
O  0.894  0.251  0.421
Be  0.750  0.808  0.192
Be  0.250  0.192  0.808
Cd  0.750  0.181  0.819
Cd  0.250  0.819  0.181

=====

[4]
# Rb2BeCdAs2

A relaxed Rb2BeCdAs2 crystal (GGA-PBE, the Alexandria database).

Space group   Ibam (72)
Total DFT energy (no corrections)   -2.9570 eV/atom
Spin magnetization   0.0 μB per formula unit
Crystal system   orthorhombic

a = 6.289 Å, b = 6.190 Å, c = 9.490 Å
α = 109.04°, β = 109.35°, γ = 90.00°
Sites, in units of the cell vectors:
As  0.380  0.584  0.168
As  0.620  0.416  0.832
As  0.212  0.916  0.832
As  0.788  0.084  0.168
Rb  0.596  0.829  0.657
Rb  0.062  0.329  0.657
Rb  0.404  0.171  0.343
Rb  0.938  0.671  0.343
Cd  0.000  0.750  0.000
Cd  0.000  0.250  0.000
Be  0.500  0.750  0.000
Be  0.500  0.250  0.000

=====

[5]
# BeCdAsSe2

A relaxed BeCdAsSe2 crystal (GGA-PBE, the Alexandria database).

Space group   P4/mmm (123)
Energy relative to the elements, uncorrected   1.203 eV/atom
Spin magnetization   0.7 μB per formula unit
Crystal system   tetragonal

a = 5.214 Å, b = 5.214 Å, c = 5.138 Å
α = 90.00°, β = 90.00°, γ = 90.00°
Last column: magnetic moment on the atom in μB.
Sites, in units of the cell vectors:
Be  0.500  0.500  0.500  -0.04
Se  0.000  0.500  0.000  0.04
Se  0.500  0.000  0.000  0.04
Cd  0.000  0.000  0.000  0.01
As  0.000  0.000  0.500  0.31

=====

[6]
# BeCdAsSe2

A relaxed BeCdAsSe2 crystal (GGA-PBE, the Alexandria database).

Space group   P4/mmm (123)
Energy relative to the elements, uncorrected   0.279 eV/atom
Spin magnetization   0.0 μB per formula unit
Crystal system   tetragonal

a = 4.932 Å, b = 4.932 Å, c = 4.221 Å
α = 90.00°, β = 90.00°, γ = 90.00°
Sites, in units of the cell vectors:
Se  0.000  0.500  0.000
Se  0.500  0.000  0.000
Cd  0.500  0.500  0.500
Be  0.000  0.000  0.000
As  0.000  0.000  0.500

=====

[7]
# SrBe2CdAs

A relaxed SrBe2CdAs crystal (GGA-PBE, the Alexandria database).

Space group   P4/mmm (123)
Total DFT energy (no corrections)   -1.1130 eV/atom
Spin magnetization   0.0 μB per formula unit
Crystal system   tetragonal

a = 5.345 Å, b = 5.929 Å, c = 5.345 Å
α = 90.00°, β = 90.00°, γ = 90.00°
Sites, in units of the cell vectors:
Be  0.000  0.000  0.500
Be  0.500  0.000  0.000
As  0.500  0.500  0.500
Cd  0.000  0.500  0.000
Sr  0.000  0.000  0.000

=====

[8]
# BeTlCdAs2

A relaxed BeTlCdAs2 crystal (GGA-PBE, the Alexandria database).

Space group   P4/mmm (123)
Total DFT energy (no corrections)   -2.9447 eV/atom
Spin magnetization   0.0 μB per formula unit
Crystal system   tetragonal

a = 4.587 Å, b = 5.295 Å, c = 4.587 Å
α = 90.00°, β = 90.00°, γ = 90.00°
Sites, in units of the cell vectors:
Be  0.000  0.000  0.000
As  0.000  0.000  0.500
As  0.500  0.000  0.000
Tl  0.500  0.500  0.500
Cd  0.000  0.500  0.000

=====

[9]
# BeTlCdAs2

A relaxed BeTlCdAs2 crystal (GGA-PBE, the Alexandria database).

Space group   C2/m (12)
Total DFT energy (no corrections)   -3.2096 eV/atom
Spin magnetization   0.0 μB per formula unit
Crystal system   monoclinic

a = 3.892 Å, b = 6.947 Å, c = 9.128 Å
α = 78.16°, β = 77.69°, γ = 73.73°
Sites, in units of the cell vectors:
As  0.860  0.217  0.062
As  0.598  0.140  0.664
As  0.402  0.860  0.336
As  0.140  0.783  0.938
Cd  0.366  0.401  0.866
Cd  0.634  0.599  0.134
Be  0.048  0.100  0.804
Be  0.952  0.900  0.196
Tl  0.152  0.295  0.402
Tl  0.848  0.705  0.598

=====

[10]
# YBe2CdAs

A relaxed YBe2CdAs crystal (GGA-PBE, the Alexandria database).

Space group   P4/mmm (123)
Total DFT energy (no corrections)   -3.3806 eV/atom
Spin magnetization   0.0 μB per formula unit
Crystal system   tetragonal

a = 4.430 Å, b = 5.299 Å, c = 4.430 Å
α = 90.00°, β = 90.00°, γ = 90.00°
Sites, in units of the cell vectors:
As  0.000  0.000  0.000
Be  0.500  0.000  0.000
Be  0.000  0.000  0.500
Y  0.500  0.500  0.500
Cd  0.000  0.500  0.000

=====

[11]
# Ce2BeAs4

A relaxed Ce2BeAs4 crystal (GGA-PBE, the Alexandria database).

Space group   P-4m2 (115)
Total DFT energy (no corrections)   -5.7813 eV/atom
Spin magnetization   1.1 μB per formula unit
Crystal system   tetragonal

a = 3.981 Å, b = 3.981 Å, c = 9.262 Å
α = 90.00°, β = 90.00°, γ = 90.00°
Last column: magnetic moment on the atom in μB.
Sites, in units of the cell vectors:
As  0.500  0.500  0.500  0.00
As  0.000  0.000  0.500  0.00
As  0.500  0.000  0.132  -0.02
As  0.000  0.500  0.868  -0.02
Be  0.500  0.500  0.000  0.01
Ce  0.000  0.500  0.246  0.52
Ce  0.500  0.000  0.754  0.52

=====

[12]
# CeBeAs2

A relaxed CeBeAs2 crystal (GGA-PBE, the Alexandria database).

Space group   P4/nmm (129)
Total DFT energy (no corrections)   -5.4348 eV/atom
Spin magnetization   0.8 μB per formula unit
Crystal system   tetragonal

a = 3.982 Å, b = 3.982 Å, c = 9.660 Å
α = 90.00°, β = 90.00°, γ = 90.00°
Last column: magnetic moment on the atom in μB.
Sites, in units of the cell vectors:
As  0.000  0.500  0.870  -0.01
As  0.500  0.500  0.500  0.00
As  0.000  0.000  0.500  0.00
As  0.500  0.000  0.130  -0.01
Ce  0.000  0.500  0.263  0.70
Ce  0.500  0.000  0.737  0.70
Be  0.000  0.000  0.000  0.01
Be  0.500  0.500  0.000  0.01